# 1
5
Lattice="5.197 0.000 0.000 0.000 5.315 0.000 0.000 0.000 5.197" Properties=species:S:1:pos:R:3 comment="CdTcBi2Au, relaxed, DFT PBE-GGA" total_energy_ev_per_cell=-19.80 pbc="T T T"
Au 2.599 2.658 2.599
Bi 0.000 0.000 2.599
Bi 2.599 0.000 0.000
Tc 0.000 0.000 0.000
Cd 0.000 2.658 0.000

# 2
5
Lattice="-2.895 -0.175 4.719 -4.733 -1.214 -2.949 1.095 -5.410 0.471" Properties=species:S:1:pos:R:3 comment="Tl2CdBiAu, relaxed, DFT PBE-GGA" total_energy_ev_per_cell=-11.62 pbc="T T T"
Tl 0.547 -2.705 0.235
Tl -1.448 -0.088 2.360
Au 0.000 0.000 0.000
Cd -3.267 -3.400 1.121
Bi -2.367 -0.607 -1.474

# 3
8
Lattice="-0.840 -1.188 4.359 3.307 -1.946 2.529 3.852 8.105 5.374" Properties=species:S:1:pos:R:3 comment="TlCd2BiAu4, relaxed, DFT PBE-GGA" total_energy_ev_per_cell=-21.37 pbc="T T T"
Au 3.532 0.083 7.970
Au 2.103 -0.705 5.057
Au 4.216 5.676 7.204
Au 2.787 4.888 4.292
Tl 0.000 0.000 0.000
Cd 1.571 1.215 3.056
Cd 4.748 3.756 9.206
Bi 3.159 2.486 6.131

# 4
4
Lattice="-4.338 -2.816 0.304 -1.808 -1.480 4.624 -4.336 2.118 1.885" Properties=species:S:1:pos:R:3 comment="TmCdBiAu, relaxed, DFT PBE-GGA" total_energy_ev_per_cell=-13.85 pbc="T T T"
Tm -7.861 -1.633 5.110
Bi 0.000 0.000 0.000
Cd -2.620 -0.544 1.703
Au -5.241 -1.089 3.406